Here is a relaxed Mn3SbP4O16 crystal from Alexandria. Energies are from PBE with a Hubbard U.

## Properties
volume: 12.67 A^3/atom
crystal system: monoclinic
energy: -173.74 eV/f.u.
energy above the most stable polymorph in this dataset: 0.008 eV per atom
Fermi-level density of states: 2.570 states/eV/f.u.

```
Mn3SbP4O16
1.0
6.0656 0.0000 0.0000
0.0000 4.9638 -0.0541
0.0000 0.0892 10.0973
P O Mn Sb
4 16 3 1
direct
0.0000 0.8942 0.4064
0.0000 0.6332 0.9003
0.5000 0.3857 0.1054
0.5000 0.0838 0.5838
0.5000 0.3568 0.9541
0.7018 0.2334 0.6597
0.5000 0.7867 0.6109
0.5000 0.1626 0.4388
0.0000 0.1972 0.4064
0.2998 0.2413 0.1714
0.0000 0.8009 0.5610
0.7986 0.7546 0.3400
0.2014 0.7546 0.3400
0.0000 0.6585 0.0462
0.7002 0.2413 0.1714
0.5000 0.6965 0.1314
0.2982 0.2334 0.6597
0.1940 0.7901 0.8250
0.8060 0.7901 0.8250
0.0000 0.3285 0.8582
0.0000 0.4327 0.2296
0.5000 0.5611 0.7826
0.5000 0.9266 0.2816
0.0000 0.0564 0.7111
```